*1*
TaCrCd at its PBEsol-relaxed geometry. Source: Alexandria, functional SCAN.

## Properties
* symmetry: P3m1 (156)

abc: 2.902 2.902 7.026
angles: 90.00 90.00 120.00
Fractional coordinates of all 3 atoms:
Ta 0.000 0.000 0.000
Cr 0.667 0.333 0.300
Cd 0.333 0.667 0.635

=====

*2*
TaCrCd at its PBEsol-relaxed geometry. Source: Alexandria, functional SCAN.

## Properties
* symmetry: F-43m (216)

abc: 6.198 6.198 6.198
angles: 90.00 90.00 90.00
Fractional coordinates of all 12 atoms:
Ta 0.000 0.000 0.000
Ta 0.000 0.500 0.500
Ta 0.500 0.000 0.500
Ta 0.500 0.500 0.000
Cr 0.000 0.000 0.500
Cr 0.000 0.500 0.000
Cr 0.500 0.000 0.000
Cr 0.500 0.500 0.500
Cd 0.250 0.250 0.750
Cd 0.250 0.750 0.250
Cd 0.750 0.250 0.250
Cd 0.750 0.750 0.750

=====

Stability check: which of them is most stable? *1*.

=====

*1*
CrCd2Tc at its PBEsol-relaxed geometry. Source: Alexandria, functional SCAN.

## Properties
* symmetry: Fm-3m (225)

abc: 6.455 6.455 6.455
angles: 90.00 90.00 90.00
Fractional coordinates of all 16 atoms:
Cr 0.000 0.000 0.000
Cr 0.000 0.500 0.500
Cr 0.500 0.000 0.500
Cr 0.500 0.500 0.000
Cd 0.250 0.250 0.250
Cd 0.250 0.250 0.750
Cd 0.250 0.750 0.250
Cd 0.250 0.750 0.750
Cd 0.750 0.250 0.250
Cd 0.750 0.250 0.750
Cd 0.750 0.750 0.250
Cd 0.750 0.750 0.750
Tc 0.000 0.000 0.500
Tc 0.000 0.500 0.000
Tc 0.500 0.000 0.000
Tc 0.500 0.500 0.500

=====

*2*
CrCd2Tc at its PBEsol-relaxed geometry. Source: Alexandria, functional SCAN.

## Properties
* symmetry: C2/m (12)

abc: 5.360 9.302 2.770
angles: 90.00 108.47 90.00
Fractional coordinates of all 8 atoms:
Cr 0.000 0.000 0.000
Cr 0.500 0.500 0.000
Cd 0.250 0.250 0.500
Cd 0.250 0.750 0.500
Cd 0.750 0.250 0.500
Cd 0.750 0.750 0.500
Tc 0.000 0.500 0.000
Tc 0.500 0.000 0.000

=====

*3*
CrCd2Tc at its PBEsol-relaxed geometry. Source: Alexandria, functional SCAN.

## Properties
* symmetry: R-3m (166)

abc: 2.802 2.802 28.402
angles: 90.00 90.00 120.00
Fractional coordinates of all 12 atoms:
Cr 0.000 0.000 0.000
Cr 0.333 0.667 0.667
Cr 0.667 0.333 0.333
Cd 0.000 0.000 0.251
Cd 0.000 0.000 0.749
Cd 0.333 0.667 0.416
Cd 0.333 0.667 0.918
Cd 0.667 0.333 0.082
Cd 0.667 0.333 0.584
Tc 0.000 0.000 0.500
Tc 0.333 0.667 0.167
Tc 0.667 0.333 0.833

=====

Stability check: which of them is most stable? *2*.

=====

*1*
Tl2CrCd at its PBEsol-relaxed geometry. Source: Alexandria, functional SCAN.

## Properties
* symmetry: R3m (160)

abc: 3.298 3.298 28.918
angles: 90.00 90.00 120.00
Fractional coordinates of all 12 atoms:
Tl 0.000 0.000 0.000
Tl 0.000 0.000 0.238
Tl 0.333 0.667 0.667
Tl 0.333 0.667 0.905
Tl 0.667 0.333 0.333
Tl 0.667 0.333 0.572
Cr 0.000 0.000 0.496
Cr 0.333 0.667 0.163
Cr 0.667 0.333 0.829
Cd 0.000 0.000 0.757
Cd 0.333 0.667 0.424
Cd 0.667 0.333 0.090

=====

*2*
Tl2CrCd at its PBEsol-relaxed geometry. Source: Alexandria, functional SCAN.

## Properties
* symmetry: P2/m (10)

abc: 5.125 3.314 5.603
angles: 90.00 112.15 90.00
Fractional coordinates of all 4 atoms:
Tl 0.000 0.000 0.000
Tl 0.000 0.500 0.500
Cr 0.500 0.000 0.500
Cd 0.500 0.500 0.000

=====

Stability check: which of them is most stable? *1*.

=====

*1*
TlCrCd2 at its PBEsol-relaxed geometry. Source: Alexandria, functional SCAN.

## Properties
* symmetry: Pmm2 (25)

abc: 3.552 3.668 6.271
angles: 90.00 90.00 90.00
Fractional coordinates of all 4 atoms:
Tl 0.000 0.000 0.000
Cr 0.500 0.500 0.240
Cd 0.000 0.000 0.475
Cd 0.500 0.500 0.719

=====

*2*
TlCrCd2 at its PBEsol-relaxed geometry. Source: Alexandria, functional SCAN.

## Properties
* symmetry: I-4m2 (119)

abc: 4.402 4.402 8.307
angles: 90.00 90.00 90.00
Fractional coordinates of all 8 atoms:
Tl 0.000 0.000 0.000
Tl 0.500 0.500 0.500
Cr 0.000 0.500 0.250
Cr 0.500 0.000 0.750
Cd 0.000 0.000 0.500
Cd 0.000 0.500 0.750
Cd 0.500 0.000 0.250
Cd 0.500 0.500 0.000

=====

Stability check: which of them is most stable? *2*.

=====

*1*
ZnCr2Cd at its PBEsol-relaxed geometry. Source: Alexandria, functional SCAN.

## Properties
* symmetry: Pmmm (47)

abc: 3.400 3.985 4.357
angles: 90.00 90.00 90.00
Fractional coordinates of all 4 atoms:
Zn 0.000 0.000 0.000
Cr 0.000 0.500 0.500
Cr 0.500 0.000 0.500
Cd 0.500 0.500 0.000

=====

*2*
ZnCr2Cd at its PBEsol-relaxed geometry. Source: Alexandria, functional SCAN.

## Properties
* symmetry: P4/mmm (123)

abc: 2.563 2.563 8.303
angles: 90.00 90.00 90.00
Fractional coordinates of all 4 atoms:
Zn 0.000 0.000 0.000
Cr 0.500 0.500 0.232
Cr 0.500 0.500 0.768
Cd 0.000 0.000 0.500

=====

Stability check: which of them is most stable? *1*.

=====

*1*
ZnCr2Cd at its PBEsol-relaxed geometry. Source: Alexandria, functional SCAN.

## Properties
* symmetry: C2/m (12)

abc: 5.057 8.590 2.558
angles: 90.00 100.30 90.00
Fractional coordinates of all 8 atoms:
Zn 0.000 0.000 0.000
Zn 0.500 0.500 0.000
Cr 0.250 0.250 0.500
Cr 0.250 0.750 0.500
Cr 0.750 0.250 0.500
Cr 0.750 0.750 0.500
Cd 0.000 0.500 0.000
Cd 0.500 0.000 0.000

=====

*2*
ZnCr2Cd at its PBEsol-relaxed geometry. Source: Alexandria, functional SCAN.

## Properties
* symmetry: I-4m2 (119)

abc: 3.924 3.924 7.753
angles: 90.00 90.00 90.00
Fractional coordinates of all 8 atoms:
Zn 0.000 0.000 0.000
Zn 0.500 0.500 0.500
Cr 0.000 0.000 0.500
Cr 0.000 0.500 0.750
Cr 0.500 0.000 0.250
Cr 0.500 0.500 0.000
Cd 0.000 0.500 0.250
Cd 0.500 0.000 0.750

=====

Stability check: which of them is most stable? *2*.